Entry 1:
PBE MnAs2OsBr, relaxed; crystal system = tetragonal; energy relative to the elements, uncorrected = 1.32 eV/atom; theoretical density = 8.01 Mg/m³; size of the total moment = 2.1 μB/f.u.; density of states at the Fermi level = 6.1 states/eV/cell
1.0
4.5546 0.0000 0.0000
0.0000 4.5546 0.0000
0.0000 0.0000 4.7475
Mn As Os Br
1 2 1 1
Direct
0.0000 0.0000 0.0000
0.0000 0.5000 0.0000
0.5000 0.0000 0.0000
0.5000 0.5000 0.5000
0.0000 0.0000 0.5000

=====

Entry 2:
PBE MnAs2OsBr, relaxed; crystal system = tetragonal; energy relative to the elements, uncorrected = 0.78 eV/atom; theoretical density = 6.44 Mg/m³; size of the total moment = 4.9 μB/f.u.; density of states at the Fermi level = 3.9 states/eV/cell
1.0
4.7214 0.0000 0.0000
0.0000 4.7214 0.0000
0.0000 0.0000 5.4960
Mn As Os Br
1 2 1 1
Direct
0.0000 0.0000 0.0000
0.0000 0.5000 0.5000
0.5000 0.0000 0.5000
0.5000 0.5000 0.5000
0.5000 0.5000 0.0000

=====

Entry 3:
PBE MnAsP2Br, relaxed; crystal system = tetragonal; energy relative to the elements, uncorrected = 0.34 eV/atom; theoretical density = 4.67 Mg/m³; size of the total moment = 0.4 μB/f.u.; density of states at the Fermi level = 4.5 states/eV/cell
1.0
4.2239 0.0000 0.0000
0.0000 4.2239 0.0000
0.0000 0.0000 5.4137
Mn As P Br
1 1 2 1
Direct
0.0000 0.0000 0.0000
0.0000 0.0000 0.5000
0.0000 0.5000 0.0000
0.5000 0.0000 0.0000
0.5000 0.5000 0.5000

=====

Entry 4:
PBE Mn2AsPbBr, relaxed; crystal system = tetragonal; energy relative to the elements, uncorrected = 0.33 eV/atom; theoretical density = 5.60 Mg/m³; size of the total moment = 8.2 μB/f.u.; density of states at the Fermi level = 5.2 states/eV/cell
1.0
4.7513 0.0000 0.0000
0.0000 4.7513 0.0000
0.0000 0.0000 6.2000
Mn As Pb Br
2 1 1 1
Direct
0.0000 0.5000 0.0000
0.5000 0.0000 0.0000
0.0000 0.0000 0.0000
0.0000 0.0000 0.5000
0.5000 0.5000 0.5000